This record from Alexandria describes a relaxed LuTiFe11C crystal. The functional is PBEsol.

Output
VASP energy, eV/atom: -8.785
SG: No. 44

Structure (extended XYZ):
```
14
Lattice="4.678 0.000 0.000 2.339 5.905 -0.006 2.339 -0.035 5.905" Properties=species:S:1:pos:R:3 pbc="T T T"
Fe 3.509 2.954 0.014
Fe 5.846 2.954 0.014
Fe 7.017 4.562 4.585
Lu 4.678 0.049 0.050
Ti 4.678 3.709 3.727
Fe 4.678 4.587 1.285
Fe 4.678 2.074 2.084
Fe 7.017 3.789 2.103
Fe 7.017 2.084 3.799
C 2.339 0.007 0.007
Fe 5.846 -0.001 2.954
Fe 4.678 1.262 4.593
Fe 3.509 -0.001 2.954
Fe 2.339 1.319 1.325
```

---

This record from Alexandria describes a relaxed MgFeC2O6 crystal. The functional is PBEsol.

Output
VASP energy, eV/atom: -7.750
SG: No. 148

Structure (extended XYZ):
```
10
Lattice="-2.911 -3.436 1.219 0.199 -4.113 -2.192 2.406 -4.136 3.015" Properties=species:S:1:pos:R:3 pbc="T T T"
O 0.073 -5.888 -1.085
C -0.227 -8.765 1.534
Mg 0.000 0.000 0.000
O -0.379 -5.798 3.126
C -0.080 -2.920 0.507
O -2.133 -6.555 0.778
O 1.826 -5.130 1.263
Fe -0.153 -5.843 1.021
O 0.586 -7.820 1.188
O -0.893 -3.865 0.853
```

---

This record from Alexandria describes a relaxed MgFe2PdC crystal. The functional is PBEsol.

Output
VASP energy, eV/atom: -5.677
SG: No. 123

Structure (extended XYZ):
```
5
Lattice="-1.105 3.558 -0.519 -4.435 -1.202 1.204 0.974 0.965 4.548" Properties=species:S:1:pos:R:3 pbc="T T T"
Fe 0.487 0.483 2.274
Fe -2.218 -0.601 0.602
C -0.553 1.779 -0.259
Pd 0.000 0.000 0.000
Mg -2.283 1.661 2.617
```

---

This record from Alexandria describes a relaxed Mn3Fe9C4 crystal. The functional is PBEsol.

Output
VASP energy, eV/atom: -9.316
SG: No. 1

Structure (extended XYZ):
```
16
Lattice="4.375 0.001 -0.022 -0.003 4.892 0.001 0.083 0.001 6.600" Properties=species:S:1:pos:R:3 pbc="T T T"
Fe 2.897 0.171 1.628
Fe 0.755 0.900 0.456
C 2.529 3.032 4.995
Mn 1.492 3.342 0.416
Fe 3.767 4.008 6.144
Fe 1.469 3.344 2.842
Mn 0.722 0.893 2.889
Fe 1.562 4.721 4.942
C 1.933 1.869 1.668
Fe 3.020 1.540 6.138
Mn 2.912 1.561 3.708
Fe 3.700 2.622 1.633
Fe 3.665 3.990 3.720
Fe 0.762 2.270 4.954
C 4.168 0.580 4.876
C 0.291 4.310 1.632
```

---

| no. | density of states at the Fermi level (states/eV per atom) |
| --- | --- |
| 1 | 0.94 |
| 2 | 0.62 |
| 3 | 1.08 |
| 4 | 1.31 |